Pm4YHg4: relaxed, GGA-PBE.

a b c (Å): 5.6854 9.6193 9.6193
angles (deg): 90.00 90.00 90.00
Closest atoms and distances in Å follow each position.
Fractional coordinates of all 18 atoms:
Pm: 0.3958 0.4116 0.8439  4 Hg 3.15-3.24, 1 Pm 3.45, 1 Y 3.47
Pm: 0.8958 0.6561 0.9116  4 Hg 3.15-3.24, 1 Pm 3.45, 1 Y 3.47
Pm: 0.3958 0.5884 0.1561  4 Hg 3.15-3.24, 1 Pm 3.45, 1 Y 3.47
Pm: 0.1042 0.0884 0.6561  4 Hg 3.15-3.24, 1 Pm 3.45, 1 Y 3.47
Pm: 0.6042 0.8439 0.5884  4 Hg 3.15-3.24, 1 Pm 3.45, 1 Y 3.47
Pm: 0.1042 0.9116 0.3439  4 Hg 3.15-3.24, 1 Pm 3.45, 1 Y 3.47
Pm: 0.8958 0.3439 0.0884  4 Hg 3.15-3.24, 1 Pm 3.45, 1 Y 3.47
Pm: 0.6042 0.1561 0.4116  4 Hg 3.15-3.24, 1 Pm 3.45, 1 Y 3.47
Y: 0.0000 0.0000 0.0000  4 Hg 3.10, 4 Pm 3.47
Y: 0.5000 0.5000 0.5000  4 Hg 3.10, 4 Pm 3.47
Hg: 0.6077 0.8977 0.1992  1 Y 3.10, 4 Pm 3.15-3.24, 3 Hg 3.28-3.41
Hg: 0.6077 0.1023 0.8008  1 Y 3.10, 4 Pm 3.15-3.24, 3 Hg 3.28-3.41
Hg: 0.1077 0.6992 0.6023  1 Y 3.10, 4 Pm 3.15-3.24, 3 Hg 3.28-3.41
Hg: 0.8923 0.3977 0.6992  1 Y 3.10, 4 Pm 3.15-3.24, 3 Hg 3.28-3.41
Hg: 0.8923 0.6023 0.3008  1 Y 3.10, 4 Pm 3.15-3.24, 3 Hg 3.28-3.41
Hg: 0.3923 0.1992 0.1023  1 Y 3.10, 4 Pm 3.15-3.24, 3 Hg 3.28-3.41
Hg: 0.3923 0.8008 0.8977  1 Y 3.10, 4 Pm 3.15-3.24, 3 Hg 3.28-3.41
Hg: 0.1077 0.3008 0.3977  1 Y 3.10, 4 Pm 3.15-3.24, 3 Hg 3.28-3.41

Calculated values
As for the formation energy from the elements: -265 meV/atom. The value obtained for the total DFT energy (no corrections) is -3.23 eV per atom.